Entry 1:
Below is crystalline CsRbLiI3 at its relaxed geometry, with properties calculated at the GGA-PBE level.

## Properties
DOS(E_F)	0.00	states/eV per atom
formation energy from raw total energies	-815	kJ/mol of formula units
SG	Cmcm
crystal system	orthorhombic
final energy	-33.66	eV per cell

```
data_CsRbLiI3
_cell_length_a 4.995
_cell_length_b 8.679
_cell_length_c 14.464
_cell_angle_alpha 90.00
_cell_angle_beta 90.00
_cell_angle_gamma 106.73
_space_group_name_H-M_alt 'P 1'
_space_group_IT_number 1
loop_
_space_group_symop_operation_xyz
'x,y,z'
loop_
_atom_site_label
_atom_site_fract_x
_atom_site_fract_y
_atom_site_fract_z
_atom_site_occupancy
Cs1 0.743 0.487 0.750 1
Cs2 0.257 0.513 0.250 1
Rb1 0.000 0.000 0.500 1
Rb2 0.000 0.000 0.000 1
Li1 0.459 0.918 0.750 1
Li2 0.541 0.082 0.250 1
I1 0.637 0.274 0.405 1
I2 0.363 0.726 0.595 1
I3 0.363 0.726 0.905 1
I4 0.637 0.274 0.095 1
I5 0.054 0.109 0.750 1
I6 0.946 0.891 0.250 1
```

---

Entry 2:
Below is crystalline Hg2PSe at its relaxed geometry, with properties calculated at the GGA-PBE level.

## Properties
DOS(E_F)	0.82	states/eV per atom
formation energy from raw total energies	206	kJ/mol of formula units
SG	R-3m
crystal system	trigonal
final energy	-7.36	eV per cell

```
data_Hg2PSe
_cell_length_a 12.767
_cell_length_b 12.767
_cell_length_c 12.767
_cell_angle_alpha 13.05
_cell_angle_beta 13.05
_cell_angle_gamma 13.05
_space_group_name_H-M_alt 'P 1'
_space_group_IT_number 1
loop_
_space_group_symop_operation_xyz
'x,y,z'
loop_
_atom_site_label
_atom_site_fract_x
_atom_site_fract_y
_atom_site_fract_z
_atom_site_occupancy
Hg1 0.754 0.754 0.754 1
Hg2 0.246 0.246 0.246 1
P1 0.500 0.500 0.500 1
Se1 0.000 0.000 0.000 1
```

---

Entry 3:
Below is crystalline CoSnS3 at its relaxed geometry, with properties calculated at the GGA-PBE level.

## Properties
DOS(E_F)	1.21	states/eV per atom
formation energy from raw total energies	54	kJ/mol of formula units
SG	Pm-3m
energy above the most stable polymorph in this dataset	0	meV per atom
crystal system	cubic
final energy	-22.93	eV per cell

```
data_CoSnS3
_cell_length_a 4.535
_cell_length_b 4.535
_cell_length_c 4.535
_cell_angle_alpha 90.00
_cell_angle_beta 90.00
_cell_angle_gamma 90.00
_space_group_name_H-M_alt 'P 1'
_space_group_IT_number 1
loop_
_space_group_symop_operation_xyz
'x,y,z'
loop_
_atom_site_label
_atom_site_fract_x
_atom_site_fract_y
_atom_site_fract_z
_atom_site_occupancy
S1 0.000 0.500 0.000 1
S2 0.000 0.000 0.500 1
S3 0.500 0.000 0.000 1
Co1 0.000 0.000 0.000 1
Sn1 0.500 0.500 0.500 1
```

---

Entry 4:
Below is crystalline PmErBe at its relaxed geometry, with properties calculated at the GGA-PBE level.

## Properties
DOS(E_F)	0.86	states/eV per atom
E_form	167	meV per atom
SG	Pnma
energy above the most stable polymorph in this dataset	59	meV per atom
crystal system	orthorhombic
final energy	-50.15	eV per cell

```
data_PmErBe
_cell_length_a 5.068
_cell_length_b 6.947
_cell_length_c 8.581
_cell_angle_alpha 90.00
_cell_angle_beta 90.00
_cell_angle_gamma 90.00
_space_group_name_H-M_alt 'P 1'
_space_group_IT_number 1
loop_
_space_group_symop_operation_xyz
'x,y,z'
loop_
_atom_site_label
_atom_site_fract_x
_atom_site_fract_y
_atom_site_fract_z
_atom_site_occupancy
Be1 0.750 0.049 0.367 1
Be2 0.250 0.549 0.133 1
Be3 0.750 0.451 0.867 1
Be4 0.250 0.951 0.633 1
Er1 0.750 0.831 0.046 1
Er2 0.250 0.169 0.954 1
Er3 0.750 0.669 0.546 1
Er4 0.250 0.331 0.454 1
Pm1 0.750 0.126 0.680 1
Pm2 0.750 0.374 0.180 1
Pm3 0.250 0.874 0.320 1
Pm4 0.250 0.626 0.820 1
```

---

Entry 5:
Below is crystalline Hf4Sn2H at its relaxed geometry, with properties calculated at the GGA-PBE level.

## Properties
DOS(E_F)	0.64	states/eV per atom
SG	Cmmm
energy above the most stable polymorph in this dataset	0	meV per atom
crystal system	orthorhombic
final energy	-53.55	eV per cell

```
data_Hf4Sn2H
_cell_length_a 4.193
_cell_length_b 4.463
_cell_length_c 7.359
_cell_angle_alpha 107.65
_cell_angle_beta 90.00
_cell_angle_gamma 90.00
_space_group_name_H-M_alt 'P 1'
_space_group_IT_number 1
loop_
_space_group_symop_operation_xyz
'x,y,z'
loop_
_atom_site_label
_atom_site_fract_x
_atom_site_fract_y
_atom_site_fract_z
_atom_site_occupancy
Hf1 0.000 0.500 0.000 1
Hf2 0.500 0.000 0.000 1
Hf3 0.000 0.171 0.343 1
Hf4 0.000 0.829 0.657 1
Sn1 0.500 0.344 0.689 1
Sn2 0.500 0.656 0.311 1
H1 0.000 0.000 0.000 1
```